Record 1
DFT (PBE-GGA) results for a geometry-optimized KIn3I4 structure.

POSCAR file:
```
KIn3I4
1.0
8.653 0.000 0.000
0.000 9.976 0.000
-2.880 0.000 8.154
K In I
2 6 8
direct
0.000 0.127 0.250 K
0.000 0.873 0.750 K
0.000 0.375 0.750 In
0.000 0.625 0.250 In
0.500 0.126 0.750 In
0.500 0.374 0.250 In
0.500 0.626 0.750 In
0.500 0.874 0.250 In
0.250 0.377 0.501 I
0.250 0.623 0.001 I
0.252 0.125 0.999 I
0.252 0.875 0.499 I
0.748 0.125 0.501 I
0.748 0.875 0.001 I
0.750 0.377 0.999 I
0.750 0.623 0.499 I
```

Output
The volume comes out at 43.99 Å³/atom. The value obtained for the uncorrected formation energy is -0.709 eV/atom. The value obtained for the total DFT energy (no corrections) is -2.65 eV per atom. Its total magnetic moment is 0.00 μB per formula unit.


Record 2
DFT (PBE-GGA) results for a geometry-optimized K2InI5 structure.

POSCAR file:
```
K2InI5
1.0
5.044 -6.281 0.000
5.044 6.281 0.000
-5.035 0.000 6.286
K In I
2 1 5
direct
0.250 0.750 0.000 K
0.750 0.250 0.000 K
0.022 0.022 0.500 In
0.188 0.188 0.952 I
0.189 0.736 0.500 I
0.297 0.297 0.501 I
0.736 0.189 0.500 I
0.737 0.737 0.048 I
```

Output
The volume comes out at 49.79 Å³/atom. The value obtained for the uncorrected formation energy is -0.938 eV/atom. The value obtained for the total DFT energy (no corrections) is -2.52 eV per atom. Its total magnetic moment is 0.00 μB per formula unit.


Record 3
DFT (PBE-GGA) results for a geometry-optimized KIn2I2 structure.

POSCAR file:
```
KIn2I2
1.0
9.136 0.000 0.000
0.000 9.136 0.000
0.000 0.000 5.111
K In I
2 4 4
direct
0.000 0.000 0.000 K
0.500 0.500 0.000 K
0.122 0.378 0.500 In
0.378 0.878 0.500 In
0.622 0.122 0.500 In
0.878 0.622 0.500 In
0.165 0.665 0.000 I
0.335 0.165 0.000 I
0.665 0.835 0.000 I
0.835 0.335 0.000 I
```

Output
The volume comes out at 42.66 Å³/atom. The value obtained for the uncorrected formation energy is -0.455 eV/atom. The value obtained for the total DFT energy (no corrections) is -2.39 eV per atom. Its total magnetic moment is 0.00 μB per formula unit.


Record 4
DFT (PBE-GGA) results for a geometry-optimized KInI2 structure.

POSCAR file:
```
KInI2
1.0
2.652 1.531 10.104
-2.652 1.531 10.104
0.000 -3.062 10.104
K In I
1 1 2
direct
0.000 0.000 0.000 K
0.500 0.500 0.500 In
0.395 0.395 0.395 I
0.605 0.605 0.605 I
```

Output
The volume comes out at 61.54 Å³/atom. The value obtained for the uncorrected formation energy is -0.764 eV/atom. The value obtained for the total DFT energy (no corrections) is -2.50 eV per atom. Its total magnetic moment is 0.00 μB per formula unit.